{
  "formula": "GeSbPd2",
  "functional": "PBE",
  "state": "optimized geometry",
  "energy_ev_per_atom": -5.18,
  "cell": [[3.906, 0.000, 0.000], [0.000, 6.616, 0.000], [0.000, 0.000, 5.861]],
  "species": ["Ge", "Ge", "Pd", "Pd", "Pd", "Pd", "Sb", "Sb"],
  "frac_coords": [[0.000, 0.847, 0.798], [0.000, 0.153, 0.298], [0.500, 0.045, 0.007], [0.000, 0.431, 0.005], [0.500, 0.955, 0.507], [0.000, 0.569, 0.505], [0.500, 0.334, 0.689], [0.500, 0.666, 0.189]]
}